A geometry-optimized KTl2Bi structure, computed with GGA-PBE.

abc: 4.7987 4.7987 24.0396
angles: 90.00 90.00 120.00
Space group R3m (No. 160, hexagonal axes)
Inequivalent atoms, fractional coordinates:
K (0.0000, 0.0000, 0.0000) (multiplicity 3)
Tl (0.0000, 0.0000, 0.4319) (multiplicity 3)
Tl (0.0000, 0.0000, 0.5713) (multiplicity 3)
Bi (0.0000, 0.0000, 0.1690) (multiplicity 3)

Output
**Electronic total energy**: -2.564 eV/atom
**Energy relative to the lowest polymorph listed for this composition**: 0.28 eV per formula unit
**Crystal system**: trigonal
**Theoretical density**: 6.83 g/cm³